Entry from Alexandria via LeMat-Bulk: Ni2GeMoO6 after structural relaxation (GGA+U).

Results
V   13.11 Å³/atom
Calculated density   4.84 g/cm³
Final energy   -5.664 eV/atom

abc: 4.6628 5.3032 5.3032
angles: 90.00 90.00 90.00
Last column: nearest neighbours and their distance in Å.
Element x y z (fractional)
Mo: 0.5949 0.5000 0.5000  1 O 1.76
O: 0.7423 0.2431 0.2431  1 Ge 1.95, 1 Mo 2.05, 2 Ni 2.06
O: 0.7423 0.2431 0.7569  1 Ge 1.95, 1 Mo 2.05, 2 Ni 2.06
O: 0.2171 0.5000 0.5000  1 Mo 1.76
O: 0.7423 0.7569 0.2431  1 Ge 1.95, 1 Mo 2.05, 2 Ni 2.06
O: 0.7423 0.7569 0.7569  1 Ge 1.95, 1 Mo 2.05, 2 Ni 2.06
O: 0.2249 0.0000 0.0000  1 Ge 1.72
Ge: 0.5928 0.0000 0.0000  1 O 1.72
Ni: 0.9238 0.0000 0.5000  4 O 2.06
Ni: 0.9238 0.5000 0.0000  4 O 2.06